DFT (PBE) results for a geometry-optimized HfTcHOs2 structure.

Cell lengths 4.016, 4.016, 4.040 Å; angles 90.00, 90.00, 90.00 degrees
Atoms (fractional coordinates):
Hf (0.500, 0.500, 0.500)
Os (0.000, 0.500, 0.000)
Os (0.500, 0.000, 0.000)
Tc (0.000, 0.000, 0.500)
H (0.000, 0.000, 0.000)

Results
symmetry = No. 123
electronic total energy = -9.28 eV per atom